(1)
A relaxed AsPRhC crystal, computed with PBE.

abc: 3.2752 3.2752 19.3041
angles: 90.00 90.00 120.00
With the nearest neighbours (Å) after each atom.
Space group R3m (No. 160, hexagonal axes)
Inequivalent atoms, fractional coordinates:
As  0.0000  0.0000  0.0000 [3 per cell]  3 C 2.10
P  0.0000  0.0000  0.5257 [3 per cell]  1 C 1.81
Rh  0.0000  0.0000  0.1331 [3 per cell]  3 P 2.21
C  0.0000  0.0000  0.6195 [3 per cell]  1 P 1.81

Results
The distance to the lowest polymorph of the same formula is 0.033 eV per atom. For the formation energy, the calculation gives 0.106 eV/atom.

(2)
A relaxed AsPRu2C crystal, computed with PBE.

abc: 4.0684 4.0684 4.2576
angles: 90.00 90.00 90.00
With the nearest neighbours (Å) after each atom.
Space group P4/mmm (No. 123)
Inequivalent atoms, fractional coordinates:
As  0.0000  0.0000  0.0000 [1 per cell]  2 C 2.13
P  0.5000  0.5000  0.0000 [1 per cell]  4 As 2.88, 8 Ru 2.94
Ru  0.0000  0.5000  0.5000 [2 per cell]  2 C 2.03
C  0.0000  0.0000  0.5000 [1 per cell]  4 Ru 2.03, 2 As 2.13

Results
For the formation energy, the calculation gives 0.848 eV/atom.

(3)
A relaxed AsPCS2 crystal, computed with PBE.

abc: 4.6751 4.6751 4.8398
angles: 90.00 90.00 90.00
With the nearest neighbours (Å) after each atom.
Space group P4/mmm (No. 123)
Inequivalent atoms, fractional coordinates:
As  0.0000  0.0000  0.0000 [1 per cell]  4 S 2.34, 2 P 2.42
P  0.0000  0.0000  0.5000 [1 per cell]  2 As 2.42
C  0.5000  0.5000  0.5000 [1 per cell]  4 P 3.31, 8 S 3.36
S  0.0000  0.5000  0.0000 [2 per cell]  2 As 2.34

Results
The distance to the lowest polymorph of the same formula is 0.906 eV per atom. Its formation energy without anion corrections is 1027 kJ/mol of formula units.

Number 1 is which compound?
AsPRhC

What is the formula in the first record?
AsPRhC